[1]
A relaxed CsNi2PbCl8 crystal, computed with PBE.

The space group is R-3 (No. 148, hexagonal axes) and the conventional cell measures 6.6503, 6.6503 and 29.3874 Å, with angles of 90.00, 90.00 and 120.00 degrees. The distinct sites, in fractional coordinates, are Cs at (0.0000, 0.0000, 0.0000), Ni at (0.0000, 0.0000, 0.2472), Pb at (0.0000, 0.0000, 0.5000), Cl at (0.0000, 0.0000, 0.3210) and Cl at (0.0058, 0.3571, 0.4415).

[2]
A relaxed CsPmNiCl6 crystal, computed with PBE.

The space group is P312 (No. 149) and the conventional cell measures 6.7665, 6.7665 and 7.7831 Å, with angles of 90.00, 90.00 and 120.00 degrees. The distinct sites, in fractional coordinates, are Cs at (0.0000, 0.0000, 0.0000), Pm at (0.3333, 0.6667, 0.5000), Ni at (0.6667, 0.3333, 0.5000) and Cl at (0.3895, 0.0326, 0.6871).

no.,raw formation energy (kJ/mol of formula units)
1,-1028
2,-1432